(1)
DFT (PBE) results for a relaxed structure of TbNdEr.

symmetry: No. 8

abc: 3.584 3.584 8.754
angles: 90.06 89.98 120.02
Atoms (fractional coordinates):
Nd: 0.458 0.104 0.112
Er: 0.791 0.772 0.778
Tb: 0.124 0.439 0.453

***

(2)
DFT (PBE) results for a relaxed structure of TbNdEr.

symmetry: No. 187

abc: 3.486 5.679 5.679
angles: 120.00 90.00 90.00
Atoms (fractional coordinates):
Nd: 0.667 0.667 0.333
Tb: 0.168 0.000 0.000
Er: 0.166 0.333 0.667

***

Energy relative to the most stable one, in meV per atom: (1) 0; (2) 52